# 1
The following is a PBE calculation of a relaxed LiCeS2 crystal, from the Alexandria database.

```
LiCeS2
1.0
4.0102 0.0000 0.0000
2.0051 3.4730 0.0000
2.0051 1.1577 6.6708
Li Ce S
1 1 2
Direct
0.4871 0.4871 0.5388
0.6693 0.6693 0.9921
0.0859 0.0859 0.7422
0.2577 0.2577 0.2268
```

As for the formation energy from raw total energies: -1.652 eV per atom.


# 2
The following is a PBE calculation of a relaxed FeOsAu2 crystal, from the Alexandria database.

```
FeOsAu2
1.0
-4.4631 2.0545 -0.4729
-4.7278 0.0930 1.4153
0.2868 3.3806 3.5520
Au Fe Os
2 1 1
Direct
0.0000 0.0000 0.9983
0.5000 0.5000 0.5017
0.7500 0.7500 0.7500
0.2500 0.2500 0.2500
```

The value obtained for the energy of formation from the pure elements is 47.64 kJ per mole of atoms.


# 3
The following is a PBE calculation of a relaxed CaNd2Sm3Se6 crystal, from the Alexandria database.

```
CaNd2Sm3Se6
1.0
-4.0548 0.1168 0.9941
1.8131 -2.8539 7.7310
2.5203 9.0248 0.4464
Ca Nd Sm Se
1 2 3 6
Direct
0.5000 0.0000 0.0000
0.8296 0.6603 0.6593
0.1704 0.3397 0.3407
0.5000 0.5000 0.0000
0.8307 0.1700 0.6615
0.1693 0.8300 0.3385
0.3358 0.9221 0.6717
0.6634 0.5856 0.3267
0.6642 0.0779 0.3283
0.9993 0.2470 0.9986
0.0007 0.7530 0.0014
0.3366 0.4144 0.6733
```

As for the formation energy from raw total energies: -1.856 eV per atom.


# 4
The following is a PBE calculation of a relaxed PmAl11Pt crystal, from the Alexandria database.

```
PmAl11Pt
1.0
-4.5641 -1.4937 -2.0991
0.9134 -6.2106 -3.7715
-3.5758 -4.0901 4.1425
Pm Al Pt
1 11 1
Direct
0.0000 0.0000 0.0000
0.2818 0.2252 0.2192
0.7182 0.7748 0.7808
0.4990 0.7748 0.2192
0.5010 0.2252 0.7808
0.3505 0.6431 0.6471
0.6495 0.3569 0.3529
0.0024 0.3569 0.6471
0.9976 0.6431 0.3529
0.0000 0.5000 0.0000
0.5000 0.0000 0.5000
0.0000 0.0000 0.5000
0.5000 0.5000 0.0000
```

The value obtained for the energy of formation from the pure elements is -27.49 kJ per mole of atoms.


# 5
The following is a PBE calculation of a relaxed Sc3SiSe crystal, from the Alexandria database.

```
Sc3SiSe
1.0
-3.0918 1.1639 -1.8515
-4.3762 -3.7714 4.9370
0.0386 6.5051 4.0250
Sc Si Se
6 2 2
Direct
0.7500 0.6101 0.3737
0.2500 0.3899 0.6263
0.7500 0.3416 0.9873
0.2500 0.8832 0.6703
0.2500 0.6584 0.0127
0.7500 0.1168 0.3297
0.2500 0.3677 0.2499
0.7500 0.6323 0.7501
0.2500 0.8609 0.3181
0.7500 0.1391 0.6819
```

As for the formation energy from raw total energies: -0.964 eV per atom.


# 6
The following is a PBE calculation of a relaxed Nd12SmCo6 crystal, from the Alexandria database.

```
Nd12SmCo6
1.0
8.2476 0.0000 -2.9160
-4.1238 7.1426 -2.9160
0.0000 0.0000 8.7479
Nd Sm Co
12 1 6
Direct
0.3104 0.1157 0.8053
0.3104 0.5052 0.1947
0.6896 0.4948 0.8053
0.6896 0.8843 0.1947
0.1157 0.8053 0.3104
0.5052 0.1947 0.3104
0.4948 0.8053 0.6896
0.8843 0.1947 0.6896
0.8053 0.3104 0.1157
0.1947 0.3104 0.5052
0.8053 0.6896 0.4948
0.1947 0.6896 0.8843
0.0000 0.0000 0.0000
0.3890 0.5000 0.8890
0.6110 0.5000 0.1110
0.5000 0.8890 0.3890
0.5000 0.1110 0.6110
0.8890 0.3890 0.5000
0.1110 0.6110 0.5000
```

The value obtained for the energy of formation from the pure elements is -4.27 kJ per mole of atoms.